Entry 1:
Compound: AsP2IrS
Source: the Alexandria database
Functional: PBE
Structure: relaxed

CIF file:
```
data_AsP2IrS
_space_group_name_H-M_alt 'P 4/m m m'
_space_group_IT_number 123
_space_group_name_Hall '-P 4 2'
_cell_length_a 4.489
_cell_length_b 4.489
_cell_length_c 5.011
_cell_angle_alpha 90.00
_cell_angle_beta 90.00
_cell_angle_gamma 90.00
loop_
_atom_site_label
_atom_site_fract_x
_atom_site_fract_y
_atom_site_fract_z
As1 0.000 0.000 0.000
P1 0.000 0.500 0.500
Ir1 0.500 0.500 0.500
S1 0.500 0.500 0.000
```

## Properties
Formation energy without anion corrections (eV per atom): 0.738
Distance to the lowest polymorph of the same formula (meV/atom): 0.0


Entry 2:
Compound: SrBePt3
Source: the Alexandria database
Functional: PBE
Structure: relaxed

CIF file:
```
data_SrBePt3
_space_group_name_H-M_alt 'P 4 m m'
_space_group_IT_number 99
_cell_length_a 3.829
_cell_length_b 3.829
_cell_length_c 7.303
_cell_angle_alpha 90.00
_cell_angle_beta 90.00
_cell_angle_gamma 90.00
loop_
_space_group_symop_operation_xyz
'x,y,z'
'-y,x,z'
'-x,-y,z'
'y,-x,z'
'-x,y,z'
'y,x,z'
'x,-y,z'
'-y,-x,z'
loop_
_atom_site_label
_atom_site_fract_x
_atom_site_fract_y
_atom_site_fract_z
Sr1 0.000 0.000 0.000
Be1 0.500 0.500 0.527
Pt1 0.000 0.000 0.608
Pt2 0.000 0.500 0.331
```

## Properties
Distance to the lowest polymorph of the same formula (meV/atom): 514.5


Entry 3:
Compound: TiBe4Zn
Source: the Alexandria database
Functional: PBE
Structure: relaxed

CIF file:
```
data_TiBe4Zn
_space_group_name_H-M_alt 'F -4 3 m'
_space_group_IT_number 216
_space_group_name_Hall 'F -4 2 3'
_cell_length_a 6.325
_cell_length_b 6.325
_cell_length_c 6.325
_cell_angle_alpha 90.00
_cell_angle_beta 90.00
_cell_angle_gamma 90.00
loop_
_atom_site_label
_atom_site_fract_x
_atom_site_fract_y
_atom_site_fract_z
Ti1 0.000 0.000 0.000
Be1 0.129 0.129 0.371
Zn1 0.250 0.250 0.750
```


Entry 4:
Compound: MgPaSbPd
Source: the Alexandria database
Functional: PBE
Structure: relaxed

CIF file:
```
data_MgPaSbPd
_space_group_name_H-M_alt 'F -4 3 m'
_space_group_IT_number 216
_space_group_name_Hall 'F -4 2 3'
_cell_length_a 7.106
_cell_length_b 7.106
_cell_length_c 7.106
_cell_angle_alpha 90.00
_cell_angle_beta 90.00
_cell_angle_gamma 90.00
loop_
_atom_site_label
_atom_site_fract_x
_atom_site_fract_y
_atom_site_fract_z
Mg1 0.000 0.000 0.000
Pa1 0.000 0.000 0.500
Sb1 0.250 0.250 0.750
Pd1 0.250 0.250 0.250
```

## Properties
Formation energy without anion corrections (eV per atom): -0.340


Entry 5:
Compound: SnSb2I
Source: the Alexandria database
Functional: PBE
Structure: relaxed

CIF file:
```
data_SnSb2I
_space_group_name_H-M_alt 'F m -3 m'
_space_group_IT_number 225
_space_group_name_Hall '-F 4 2 3'
_cell_length_a 7.711
_cell_length_b 7.711
_cell_length_c 7.711
_cell_angle_alpha 90.00
_cell_angle_beta 90.00
_cell_angle_gamma 90.00
loop_
_atom_site_label
_atom_site_fract_x
_atom_site_fract_y
_atom_site_fract_z
Sn1 0.000 0.000 0.000
Sb1 0.250 0.250 0.250
I1 0.000 0.000 0.500
```

## Properties
Formation energy without anion corrections (eV per atom): 0.287
Distance to the lowest polymorph of the same formula (meV/atom): 0.0


Entry 6:
Compound: LiUSnPd
Source: the Alexandria database
Functional: PBE
Structure: relaxed

CIF file:
```
data_LiUSnPd
_space_group_name_H-M_alt 'F -4 3 m'
_space_group_IT_number 216
_space_group_name_Hall 'F -4 2 3'
_cell_length_a 6.816
_cell_length_b 6.816
_cell_length_c 6.816
_cell_angle_alpha 90.00
_cell_angle_beta 90.00
_cell_angle_gamma 90.00
loop_
_atom_site_label
_atom_site_fract_x
_atom_site_fract_y
_atom_site_fract_z
Li1 0.000 0.000 0.000
U1 0.250 0.250 0.750
Sn1 0.250 0.250 0.250
Pd1 0.000 0.000 0.500
```


Number 1: electronic total energy -4.954 eV per atom, size of the total moment 0.0 μB/f.u.. Number 2: electronic total energy -4.936 eV per atom, size of the total moment 0.0 μB/f.u.. Number 3: electronic total energy -4.024 eV per atom, size of the total moment 0.0 μB/f.u.. Number 4: electronic total energy -5.442 eV per atom, size of the total moment 1.1 μB/f.u.. Number 5: electronic total energy -3.163 eV per atom, size of the total moment 0.0 μB/f.u.. Number 6: electronic total energy -5.849 eV per atom, size of the total moment 2.9 μB/f.u..